1) {
  "formula": "PmPr2Sc",
  "functional": "PBE-GGA",
  "state": "optimized geometry",
  "magmom_total_mub_per_atom": 0.00,
  "space_group": "P4/mmm",
  "cell": [[-2.677, -2.362, 0.724], [0.320, -1.390, -3.352], [6.613, -6.478, 3.319]],
  "species": ["Pr", "Pr", "Sc", "Pm"],
  "fractional_positions": [[0.000, 0.000, 0.765], [0.000, 0.000, 0.235], [0.500, 0.500, 0.000], [0.500, 0.500, 0.500]]
}

2) {
  "formula": "PmPr2Sc",
  "functional": "PBE-GGA",
  "state": "optimized geometry",
  "magmom_total_mub_per_atom": 0.00,
  "space_group": "R-3m",
  "cell": [[-0.547, -3.453, 0.051], [1.995, -2.057, 2.003], [-7.518, -0.429, 10.095]],
  "species": ["Pr", "Pr", "Sc", "Pm"],
  "fractional_positions": [[0.085, 0.085, 0.745], [0.915, 0.915, 0.255], [0.000, 0.000, 0.000], [0.500, 0.500, 0.500]]
}

3) {
  "formula": "PmPr2Sc",
  "functional": "PBE-GGA",
  "state": "optimized geometry",
  "magmom_total_mub_per_atom": 0.00,
  "space_group": "P4/mmm",
  "cell": [[-1.548, -2.337, 4.174], [-0.800, -4.245, -2.673], [4.767, -1.487, 0.935]],
  "species": ["Pr", "Pr", "Sc", "Pm"],
  "fractional_positions": [[0.000, 0.000, 0.500], [0.000, 0.500, 0.000], [0.500, 0.000, 0.000], [0.500, 0.500, 0.500]]
}

Calculated relative energies: 1) 0.5; 2) 18.6; 3) 0.0, given in kJ/mol of atoms

1) {
  "formula": "PmPr2Sc",
  "functional": "PBE-GGA",
  "state": "optimized geometry",
  "magmom_total_mub_per_atom": 0.00,
  "space_group": "C2/m",
  "cell": [[6.044, 0.212, 1.262], [1.037, 6.232, 3.296], [0.453, 0.155, 7.110]],
  "species": ["Pm", "Pm", "Pr", "Pr", "Pr", "Pr", "Sc", "Sc"],
  "fractional_positions": [[0.755, 0.874, 0.874], [0.245, 0.126, 0.126], [0.249, 0.621, 0.128], [0.751, 0.872, 0.379], [0.751, 0.379, 0.872], [0.249, 0.128, 0.621], [0.742, 0.378, 0.378], [0.258, 0.622, 0.622]]
}

2) {
  "formula": "PmPr2Sc",
  "functional": "PBE-GGA",
  "state": "optimized geometry",
  "magmom_total_mub_per_atom": 0.00,
  "space_group": "R3m",
  "cell": [[-1.674, -3.041, 0.966], [0.614, -3.049, -1.818], [8.407, -4.563, 6.923]],
  "species": ["Pm", "Pr", "Pr", "Sc"],
  "fractional_positions": [[0.499, 0.499, 0.502], [0.079, 0.079, 0.762], [0.254, 0.254, 0.237], [0.667, 0.667, 0.999]]
}

3) {
  "formula": "PmPr2Sc",
  "functional": "PBE-GGA",
  "state": "optimized geometry",
  "magmom_total_mub_per_atom": 0.00,
  "space_group": "Fm-3m",
  "cell": [[5.697, 0.000, 0.000], [2.848, 4.934, 0.000], [2.848, 1.645, 4.651]],
  "species": ["Pr", "Pr", "Sc", "Pm"],
  "fractional_positions": [[0.250, 0.250, 0.250], [0.750, 0.750, 0.750], [0.500, 0.500, 0.500], [0.000, 0.000, 0.000]]
}

Calculated relative energies: 1) 0.0; 2) 1.8; 3) 7.7, given in kJ/mol of atoms

1) {
  "formula": "Pm2Pr6Sc",
  "functional": "PBE-GGA",
  "state": "optimized geometry",
  "magmom_total_mub_per_atom": 0.00,
  "space_group": "C2/m",
  "cell": [[7.282, 0.000, 0.000], [0.000, 7.444, -4.517], [0.000, -4.774, 14.431]],
  "species": ["Pm", "Pm", "Pm", "Pm", "Pr", "Pr", "Pr", "Pr", "Pr", "Pr", "Pr", "Pr", "Pr", "Pr", "Pr", "Pr", "Sc", "Sc"],
  "fractional_positions": [[0.500, 0.176, 0.224], [0.000, 0.324, 0.276], [0.000, 0.676, 0.724], [0.500, 0.824, 0.776], [0.000, 0.245, 0.829], [0.259, 0.236, 0.445], [0.241, 0.264, 0.055], [0.741, 0.236, 0.445], [0.759, 0.264, 0.055], [0.500, 0.255, 0.671], [0.000, 0.755, 0.171], [0.741, 0.764, 0.555], [0.759, 0.736, 0.945], [0.259, 0.764, 0.555], [0.241, 0.736, 0.945], [0.500, 0.745, 0.329], [0.500, 0.500, 0.000], [0.000, 0.000, 0.500]]
}

2) {
  "formula": "Pm2Pr6Sc",
  "functional": "PBE-GGA",
  "state": "optimized geometry",
  "magmom_total_mub_per_atom": 0.00,
  "space_group": "C2/c",
  "cell": [[6.269, -0.130, -0.126], [1.245, 10.053, 1.441], [1.245, 1.766, 10.001]],
  "species": ["Pm", "Pm", "Pm", "Pm", "Pr", "Pr", "Pr", "Pr", "Pr", "Pr", "Pr", "Pr", "Pr", "Pr", "Pr", "Pr", "Sc", "Sc"],
  "fractional_positions": [[0.431, 0.564, 0.780], [0.069, 0.220, 0.436], [0.569, 0.436, 0.220], [0.931, 0.780, 0.564], [0.488, 0.690, 0.411], [0.012, 0.589, 0.310], [0.512, 0.310, 0.589], [0.988, 0.411, 0.690], [0.641, 0.073, 0.342], [0.859, 0.658, 0.927], [0.359, 0.927, 0.658], [0.141, 0.342, 0.073], [0.326, 0.759, 0.028], [0.174, 0.972, 0.241], [0.674, 0.241, 0.972], [0.826, 0.028, 0.759], [0.250, 0.110, 0.890], [0.750, 0.890, 0.110]]
}

Calculated relative energies: 1) 5.8; 2) 0.0, given in kJ/mol of atoms

1) {
  "formula": "Pm4Pr5Sc",
  "functional": "PBE-GGA",
  "state": "optimized geometry",
  "magmom_total_mub_per_atom": 0.00,
  "space_group": "P4/mmm",
  "cell": [[-0.379, -2.055, 3.028], [-0.540, -2.980, -2.090], [24.974, -4.553, 0.037]],
  "species": ["Pm", "Pm", "Pm", "Pm", "Pr", "Pr", "Pr", "Pr", "Pr", "Sc"],
  "fractional_positions": [[0.000, 0.000, 0.192], [0.000, 0.000, 0.397], [0.000, 0.000, 0.603], [0.000, 0.000, 0.808], [0.500, 0.500, 0.090], [0.500, 0.500, 0.295], [0.500, 0.500, 0.500], [0.500, 0.500, 0.705], [0.500, 0.500, 0.910], [0.000, 0.000, 0.000]]
}

2) {
  "formula": "Pm4Pr5Sc",
  "functional": "PBE-GGA",
  "state": "optimized geometry",
  "magmom_total_mub_per_atom": 0.00,
  "space_group": "C2/m",
  "cell": [[3.515, 0.000, -0.819], [-1.451, 9.626, -6.229], [0.887, -2.603, 11.762]],
  "species": ["Pm", "Pm", "Pm", "Pm", "Pr", "Pr", "Pr", "Pr", "Pr", "Sc"],
  "fractional_positions": [[0.604, 0.915, 0.208], [0.083, 0.366, 0.166], [0.396, 0.085, 0.792], [0.917, 0.634, 0.834], [0.205, 0.301, 0.410], [0.191, 0.797, 0.382], [0.809, 0.203, 0.618], [0.500, 0.500, 0.000], [0.795, 0.699, 0.590], [0.500, 0.000, 0.000]]
}

Calculated relative energies: 1) 0.0; 2) 3.4, given in kJ/mol of atoms

1) {
  "formula": "Pm4PrSc2",
  "functional": "PBE-GGA",
  "state": "optimized geometry",
  "magmom_total_mub_per_atom": 0.00,
  "space_group": "P2_1/m",
  "cell": [[8.690, 0.000, -0.424], [0.000, 6.479, 0.000], [-3.742, 0.000, 8.152]],
  "species": ["Pm", "Pm", "Pm", "Pm", "Pm", "Pm", "Pm", "Pm", "Pr", "Pr", "Sc", "Sc", "Sc", "Sc"],
  "fractional_positions": [[0.592, 0.493, 0.228], [0.057, 0.750, 0.831], [0.943, 0.250, 0.169], [0.592, 0.007, 0.228], [0.008, 0.250, 0.565], [0.408, 0.993, 0.772], [0.408, 0.507, 0.772], [0.992, 0.750, 0.435], [0.248, 0.750, 0.261], [0.752, 0.250, 0.739], [0.797, 0.750, 0.000], [0.203, 0.250, 0.000], [0.365, 0.250, 0.419], [0.635, 0.750, 0.581]]
}

2) {
  "formula": "Pm4PrSc2",
  "functional": "PBE-GGA",
  "state": "optimized geometry",
  "magmom_total_mub_per_atom": 0.00,
  "space_group": "C2/c",
  "cell": [[-4.027, -0.674, 6.925], [4.289, -2.785, -6.202], [13.758, 5.436, 7.842]],
  "species": ["Pm", "Pm", "Pm", "Pm", "Pm", "Pm", "Pm", "Pm", "Pr", "Pr", "Sc", "Sc", "Sc", "Sc"],
  "fractional_positions": [[0.308, 0.158, 0.426], [0.753, 0.151, 0.081], [0.849, 0.247, 0.419], [0.842, 0.692, 0.074], [0.158, 0.308, 0.926], [0.151, 0.753, 0.581], [0.247, 0.849, 0.919], [0.692, 0.842, 0.574], [0.944, 0.056, 0.250], [0.056, 0.944, 0.750], [0.381, 0.619, 0.750], [0.731, 0.269, 0.750], [0.619, 0.381, 0.250], [0.269, 0.731, 0.250]]
}

Calculated relative energies: 1) 0.0; 2) 4.9, given in kJ/mol of atoms